! Mn6Tl3F20 PBE+U optimized geometry; values from VASP
! N(E_F) (states/eV/f.u.): 23.35
! Final energy (hartree per atom): -0.192
&SYSTEM
  ibrav = 0, nat = 29, ntyp = 3
/
ATOMIC_SPECIES
Mn 54.94 Mn.upf
Tl 204.38 Tl.upf
F 19.00 F.upf
CELL_PARAMETERS angstrom
0.0000 5.6258 5.6258
5.6258 0.0000 5.6258
5.6258 5.6258 0.0000
ATOMIC_POSITIONS angstrom
Mn 5.6258 5.6258 2.5482
Mn 5.6258 2.5482 5.6258
Mn 8.7034 5.6258 5.6258
Mn 2.5482 5.6258 5.6258
Mn 5.6258 8.7034 5.6258
Mn 5.6258 5.6258 8.7034
Tl 2.8129 2.8129 2.8129
Tl 5.6258 5.6258 5.6258
Tl 8.4387 8.4387 8.4387
F 1.2865 1.2865 1.2865
F 4.3393 4.3393 1.2865
F 4.3393 1.2865 4.3393
F 5.6258 3.8379 3.8379
F 7.4137 5.6258 3.8379
F 7.4137 3.8379 5.6258
F 9.9651 6.9122 6.9122
F 3.8379 5.6258 3.8379
F 5.6258 7.4137 3.8379
F 3.8379 3.8379 5.6258
F 7.4137 7.4137 5.6258
F 5.6258 3.8379 7.4137
F 7.4137 5.6258 7.4137
F 1.2865 4.3393 4.3393
F 3.8379 7.4137 5.6258
F 3.8379 5.6258 7.4137
F 5.6258 7.4137 7.4137
F 6.9122 9.9651 6.9122
F 6.9122 6.9122 9.9651
F 9.9651 9.9651 9.9651